1.
Density functional theory data (PBE-GGA) for an optimized crystal structure of TbPr10Er6.

Computed properties:
For the calculated total energy, the calculation gives -77.620 eV per cell. Its theoretical density is 7.27 g cm⁻³. For the energy relative to the elements, the calculation gives 0.128 eV per atom.

a b c (Å): 6.9383 9.8853 9.8853
angles (deg): 120.00 90.00 90.00
Sites, in units of the cell vectors:
Pr (0.1818, 0.0000, 0.7238)
Er (0.6851, 0.3668, 0.3668)
Er (0.3149, 0.3668, 0.0000)
Er (0.3149, 0.0000, 0.3668)
Pr (0.5000, 0.3333, 0.6667)
Pr (0.1818, 0.7238, 0.0000)
Pr (0.8182, 0.2762, 0.0000)
Pr (0.1818, 0.2762, 0.2762)
Er (0.6851, 0.6332, 0.0000)
Pr (0.8182, 0.7238, 0.7238)
Er (0.3149, 0.6332, 0.6332)
Pr (0.0000, 0.3333, 0.6667)
Pr (0.0000, 0.6667, 0.3333)
Er (0.6851, 0.0000, 0.6332)
Pr (0.5000, 0.6667, 0.3333)
Tb (0.5000, 0.0000, 0.0000)
Pr (0.8182, 0.0000, 0.2762)

---

2.
Density functional theory data (PBE-GGA) for an optimized crystal structure of Tb2Pr3Er.

Computed properties:
For the calculated total energy, the calculation gives -55.190 eV per cell. Its theoretical density is 7.39 g cm⁻³. For the energy relative to the elements, the calculation gives 0.094 eV per atom.

a b c (Å): 5.9263 7.5804 10.2787
angles (deg): 111.64 106.76 90.00
Sites, in units of the cell vectors:
Pr (0.8454, 0.0954, 0.6909)
Tb (0.3226, 0.3227, 0.6453)
Pr (0.1546, 0.4046, 0.3091)
Tb (0.3227, 0.8227, 0.6453)
Pr (0.8454, 0.5954, 0.6909)
Pr (0.5000, 0.7500, 0.0000)
Tb (0.6774, 0.6773, 0.3547)
Pr (0.5000, 0.2500, 0.0000)
Er (0.0000, 0.5000, 0.0000)
Tb (0.6773, 0.1773, 0.3547)
Pr (0.1546, 0.9046, 0.3091)
Er (0.0000, 0.0000, 0.0000)

---

3.
Density functional theory data (PBE-GGA) for an optimized crystal structure of Tb4Pr3Er2.

Computed properties:
For the calculated total energy, the calculation gives -82.191 eV per cell. Its theoretical density is 7.81 g cm⁻³. For the energy relative to the elements, the calculation gives 0.099 eV per atom.

a b c (Å): 6.0861 11.2942 11.2942
angles (deg): 62.78 64.01 64.01
Sites, in units of the cell vectors:
Er (0.0828, 0.4814, 0.7483)
Pr (0.7507, 0.0564, 0.2770)
Pr (0.2493, 0.9436, 0.7230)
Er (0.4172, 0.2517, 0.5186)
Tb (0.4235, 0.5890, 0.8443)
Pr (0.2507, 0.2770, 0.0564)
Pr (0.7500, 0.3931, 0.6069)
Tb (0.0765, 0.1557, 0.4110)
Er (0.5828, 0.7483, 0.4814)
Pr (0.7493, 0.7230, 0.9436)
Er (0.9172, 0.5186, 0.2517)
Tb (0.0793, 0.8182, 0.0815)
Tb (0.9235, 0.8443, 0.5890)
Tb (0.4207, 0.9185, 0.1818)
Tb (0.5765, 0.4110, 0.1557)
Pr (0.2500, 0.6069, 0.3931)
Tb (0.5793, 0.0815, 0.8182)
Tb (0.9207, 0.1818, 0.9185)